1.
Computed, not measured: a relaxed structure of Tb2CeN at the PBE-GGA level of DFT.

a b c (Å): 3.4099 3.4099 28.7331
angles (deg): 90.00 90.00 120.00
Space group R-3m (No. 166, hexagonal axes)
Inequivalent atoms, fractional coordinates:
Tb 0.0000 0.0000 0.1192 [6 per cell]
Ce 0.0000 0.0000 0.0000 [3 per cell]
N 0.0000 0.0000 0.5000 [3 per cell]

2.
Computed, not measured: a relaxed structure of Tb2CeN at the PBE-GGA level of DFT.

a b c (Å): 3.145 3.145 8.669
angles (deg): 90.00 90.00 90.00
Space group P4/mmm (No. 123)
Inequivalent atoms, fractional coordinates:
Tb 0.000 0.000 0.164 [2 per cell]
Ce 0.500 0.500 0.500 [1 per cell]
N 0.500 0.500 0.000 [1 per cell]

According to the calculations, the structures order from most to least stable as 1, 2.

1.
Computed, not measured: a relaxed structure of CeTcN2 at the PBE-GGA level of DFT.

a b c (Å): 3.7113 3.7113 17.2760
angles (deg): 90.00 90.00 120.00
Space group R-3m (No. 166, hexagonal axes)
Inequivalent atoms, fractional coordinates:
Ce 0.0000 0.0000 0.0000 [3 per cell]
Tc 0.0000 0.0000 0.5000 [3 per cell]
N 0.0000 0.0000 0.3924 [6 per cell]

2.
Computed, not measured: a relaxed structure of CeTcN2 at the PBE-GGA level of DFT.

a b c (Å): 6.023 6.409 5.695
angles (deg): 90.00 108.87 90.00
Space group P2_1/c (No. 14)
Inequivalent atoms, fractional coordinates:
Ce 0.187 0.087 0.317 [4 per cell]
Tc 0.359 0.641 0.385 [4 per cell]
N 0.113 0.749 0.039 [4 per cell]
N 0.444 0.127 0.734 [4 per cell]

According to the calculations, the structures order from most to least stable as 2, 1.

1.
Computed, not measured: a relaxed structure of Ce2TcN at the PBE-GGA level of DFT.

a b c (Å): 3.4602 3.4602 21.7305
angles (deg): 90.00 90.00 120.00
Space group R-3m (No. 166, hexagonal axes)
Inequivalent atoms, fractional coordinates:
Ce 0.0000 0.0000 0.2347 [6 per cell]
Tc 0.0000 0.0000 0.0000 [3 per cell]
N 0.0000 0.0000 0.5000 [3 per cell]

2.
Computed, not measured: a relaxed structure of Ce2TcN at the PBE-GGA level of DFT.

a b c (Å): 3.199 3.199 6.750
angles (deg): 90.00 90.00 90.00
Space group P4/mmm (No. 123)
Inequivalent atoms, fractional coordinates:
Ce 0.000 0.000 0.218 [2 per cell]
Tc 0.500 0.500 0.500 [1 per cell]
N 0.500 0.500 0.000 [1 per cell]

According to the calculations, the structures order from most to least stable as 1, 2.

1.
Computed, not measured: a relaxed structure of CeTcN at the PBE-GGA level of DFT.

a b c (Å): 3.3784 3.3784 5.0250
angles (deg): 90.00 90.00 120.00
Space group P3m1 (No. 156)
Inequivalent atoms, fractional coordinates:
Ce 0.0000 0.0000 0.0000 [1 per cell]
Tc 0.3333 0.6667 0.5628 [1 per cell]
N 0.6667 0.3333 0.7022 [1 per cell]

2.
Computed, not measured: a relaxed structure of CeTcN at the PBE-GGA level of DFT.

a b c (Å): 17.358 3.456 3.430
angles (deg): 90.00 90.00 90.00
Space group Pnma (No. 62)
Inequivalent atoms, fractional coordinates:
Ce 0.171 0.250 0.245 [4 per cell]
Tc 0.006 0.750 0.250 [4 per cell]
N 0.197 0.750 0.745 [4 per cell]

According to the calculations, the structures order from most to least stable as 2, 1.

1.
Computed, not measured: a relaxed structure of Ce2TeN at the PBE-GGA level of DFT.

a b c (Å): 4.5555 4.5555 22.9796
angles (deg): 90.00 90.00 120.00
Space group R-3m (No. 166, hexagonal axes)
Inequivalent atoms, fractional coordinates:
Ce 0.0000 0.0000 0.0878 [6 per cell]
Te 0.0000 0.0000 0.5000 [3 per cell]
N 0.0000 0.0000 0.0000 [3 per cell]

2.
Computed, not measured: a relaxed structure of Ce2TeN at the PBE-GGA level of DFT.

a b c (Å): 4.621 4.621 9.141
angles (deg): 90.00 90.00 90.00
Space group P4/nmm (No. 129, origin choice 2)
Inequivalent atoms, fractional coordinates:
Ce 0.250 0.250 0.164 [2 per cell]
Ce 0.250 0.750 0.500 [2 per cell]
Te 0.250 0.250 0.801 [2 per cell]
N 0.250 0.250 0.408 [2 per cell]

According to the calculations, the structures order from most to least stable as 2, 1.

1.
Computed, not measured: a relaxed structure of Ce2TeN at the PBE-GGA level of DFT.

a b c (Å): 8.214 6.666 7.274
angles (deg): 90.00 94.13 90.00
Space group P2_1/c (No. 14)
Inequivalent atoms, fractional coordinates:
Ce 0.064 0.150 0.350 [4 per cell]
Ce 0.311 0.668 0.538 [4 per cell]
Te 0.357 0.140 0.674 [4 per cell]
N 0.147 0.678 0.814 [4 per cell]

2.
Computed, not measured: a relaxed structure of Ce2TeN at the PBE-GGA level of DFT.

a b c (Å): 3.399 3.399 7.267
angles (deg): 90.00 90.00 90.00
Space group P4/mmm (No. 123)
Inequivalent atoms, fractional coordinates:
Ce 0.000 0.000 0.199 [2 per cell]
Te 0.500 0.500 0.500 [1 per cell]
N 0.500 0.500 0.000 [1 per cell]

According to the calculations, the structures order from most to least stable as 1, 2.

1.
Computed, not measured: a relaxed structure of CeTlN at the PBE-GGA level of DFT.

a b c (Å): 4.051 4.051 8.397
angles (deg): 90.00 90.00 90.00
Space group P4/nmm (No. 129, origin choice 2)
Inequivalent atoms, fractional coordinates:
Ce 0.250 0.250 0.126 [2 per cell]
Tl 0.250 0.250 0.602 [2 per cell]
N 0.250 0.750 0.000 [2 per cell]

2.
Computed, not measured: a relaxed structure of CeTlN at the PBE-GGA level of DFT.

a b c (Å): 3.386 3.386 12.342
angles (deg): 90.00 90.00 90.00
Space group I4mm (No. 107)
Inequivalent atoms, fractional coordinates:
Ce 0.000 0.000 0.000 [2 per cell]
Tl 0.000 0.000 0.274 [2 per cell]
N 0.000 0.000 0.483 [2 per cell]

According to the calculations, the structures order from most to least stable as 1, 2.

1.
Computed, not measured: a relaxed structure of Ce2UN4 at the PBE-GGA level of DFT.

a b c (Å): 5.935 10.125 3.566
angles (deg): 90.00 90.00 90.00
Space group Pbam (No. 55)
Inequivalent atoms, fractional coordinates:
Ce 0.056 0.176 0.000 [4 per cell]
U 0.000 0.500 0.500 [2 per cell]
N 0.146 0.690 0.500 [4 per cell]
N 0.232 0.459 0.000 [4 per cell]

2.
Computed, not measured: a relaxed structure of Ce2UN4 at the PBE-GGA level of DFT.

a b c (Å): 7.200 7.200 7.666
angles (deg): 90.00 90.00 90.00
Space group I-42d (No. 122)
Inequivalent atoms, fractional coordinates:
Ce 0.116 0.250 0.125 [8 per cell]
U 0.000 0.000 0.500 [4 per cell]
N 0.058 0.204 0.803 [16 per cell]

According to the calculations, the structures order from most to least stable as 1, 2.

1.
Computed, not measured: a relaxed structure of CeUN at the PBE-GGA level of DFT.

a b c (Å): 3.5010 3.5010 4.6670
angles (deg): 90.00 90.00 120.00
Space group P3m1 (No. 156)
Inequivalent atoms, fractional coordinates:
Ce 0.0000 0.0000 0.0000 [1 per cell]
U 0.3333 0.6667 0.3646 [1 per cell]
N 0.6667 0.3333 0.6406 [1 per cell]

2.
Computed, not measured: a relaxed structure of CeUN at the PBE-GGA level of DFT.

a b c (Å): 2.970 23.060 2.999
angles (deg): 90.00 90.00 90.00
Space group Cmcm (No. 63)
Inequivalent atoms, fractional coordinates:
Ce 0.000 0.181 0.250 [4 per cell]
U 0.000 0.053 0.250 [4 per cell]
N 0.000 0.390 0.250 [4 per cell]

3.
Computed, not measured: a relaxed structure of CeUN at the PBE-GGA level of DFT.

a b c (Å): 3.178 3.178 11.481
angles (deg): 90.00 90.00 90.00
Space group I4mm (No. 107)
Inequivalent atoms, fractional coordinates:
Ce 0.000 0.000 0.000 [2 per cell]
U 0.000 0.000 0.763 [2 per cell]
N 0.000 0.000 0.587 [2 per cell]

According to the calculations, the structures order from most to least stable as 1, 3, 2.

1.
Computed, not measured: a relaxed structure of Ce3UN6 at the PBE-GGA level of DFT.

a b c (Å): 9.8402 9.8402 11.6203
angles (deg): 90.00 90.00 120.00
Space group R-3 (No. 148, hexagonal axes)
Inequivalent atoms, fractional coordinates:
Ce 0.0360 0.2659 0.2134 [18 per cell]
U 0.0000 0.0000 0.0000 [3 per cell]
U 0.0000 0.0000 0.5000 [3 per cell]
N 0.0272 0.1808 0.8781 [18 per cell]
N 0.0370 0.2116 0.4097 [18 per cell]

2.
Computed, not measured: a relaxed structure of Ce3UN6 at the PBE-GGA level of DFT.

a b c (Å): 6.0184 6.0184 14.6926
angles (deg): 90.00 90.00 120.00
Space group R3 (No. 146, hexagonal axes)
Inequivalent atoms, fractional coordinates:
Ce 0.0000 0.0000 0.0000 [3 per cell]
Ce 0.0000 0.0000 0.2298 [3 per cell]
Ce 0.0000 0.0000 0.4952 [3 per cell]
U 0.0000 0.0000 0.7218 [3 per cell]
N 0.0529 0.3541 0.7863 [9 per cell]
N 0.0628 0.6766 0.2925 [9 per cell]

According to the calculations, the structures order from most to least stable as 1, 2.

1.
Computed, not measured: a relaxed structure of CeVN at the PBE-GGA level of DFT.

a b c (Å): 2.794 2.794 11.346
angles (deg): 90.00 90.00 90.00
Space group I4mm (No. 107)
Inequivalent atoms, fractional coordinates:
Ce 0.000 0.000 0.000 [2 per cell]
V 0.000 0.000 0.286 [2 per cell]
N 0.000 0.000 0.754 [2 per cell]

2.
Computed, not measured: a relaxed structure of CeVN at the PBE-GGA level of DFT.

a b c (Å): 3.0863 3.0863 5.5460
angles (deg): 90.00 90.00 120.00
Space group P3m1 (No. 156)
Inequivalent atoms, fractional coordinates:
Ce 0.0000 0.0000 0.0000 [1 per cell]
V 0.3333 0.6667 0.5258 [1 per cell]
N 0.6667 0.3333 0.6825 [1 per cell]

According to the calculations, the structures order from most to least stable as 2, 1.

1.
Computed, not measured: a relaxed structure of Ce2WN4 at the PBE-GGA level of DFT.

a b c (Å): 6.004 5.955 6.823
angles (deg): 90.00 108.65 90.00
Space group P2_1/m (No. 11)
Inequivalent atoms, fractional coordinates:
Ce 0.182 0.250 0.034 [2 per cell]
Ce 0.274 0.250 0.565 [2 per cell]
W 0.269 0.750 0.808 [2 per cell]
N 0.055 0.506 0.753 [4 per cell]
N 0.457 0.750 0.085 [2 per cell]
N 0.472 0.750 0.647 [2 per cell]

2.
Computed, not measured: a relaxed structure of Ce2WN4 at the PBE-GGA level of DFT.

a b c (Å): 3.956 3.956 12.247
angles (deg): 90.00 90.00 90.00
Space group I4/mmm (No. 139)
Inequivalent atoms, fractional coordinates:
Ce 0.000 0.000 0.145 [4 per cell]
W 0.000 0.000 0.500 [2 per cell]
N 0.000 0.000 0.326 [4 per cell]
N 0.000 0.500 0.000 [4 per cell]

According to the calculations, the structures order from most to least stable as 2, 1.